Computed, not measured: a relaxed structure of YEr2U2Ru5 at the GGA-PBE level of DFT.

Properties
total magnetization: 0.00 μB per atom
calculated density: 11.58 g cm⁻³
final energy: -87.384 eV/f.u.
energy of formation: -2.839 eV/f.u.

Lattice parameters (Å, degrees): 3.6197 10.5513 10.5513 90.00 90.00 90.00
Sites, in units of the cell vectors:
U  0.0000  0.6340  0.8660
Ru  0.5000  0.9453  0.2141
Ru  0.5000  0.2141  0.0547
Ru  0.5000  0.0000  0.5000
Er  0.0000  0.3260  0.8260
Ru  0.5000  0.2859  0.5547
Ru  0.5000  0.7859  0.9453
Ru  0.5000  0.5000  0.0000
Y  0.0000  0.0000  0.0000
U  0.0000  0.8660  0.3660
U  0.0000  0.3660  0.1340
Er  0.0000  0.1740  0.3260
Ru  0.5000  0.7141  0.4453
Y  0.0000  0.5000  0.5000
U  0.0000  0.1340  0.6340
Er  0.0000  0.8260  0.6740
Ru  0.5000  0.5547  0.7141
Ru  0.5000  0.4453  0.2859
Ru  0.5000  0.0547  0.7859
Er  0.0000  0.6740  0.1740